# 1
Here is a relaxed AgAsI2N crystal from Alexandria. Energies are from PBE.

abc: 5.854 5.854 3.867
angles: 90.00 90.00 90.00
Sites, in units of the cell vectors:
N 0.000 0.000 0.500
As 0.500 0.500 0.500
Ag 0.000 0.000 0.000
I 0.000 0.500 0.000
I 0.500 0.000 0.000

Calculated values
* magnetization: 0.000 μB per atom
* crystal system: tetragonal
* ΔE_f (raw): 1.2752 eV/atom
* ΔE to the lowest computed polymorph: 607 meV per atom
* density: 5.6 g/cm³
* space group: P4/mmm
* N(E_F): 6.12 states/eV/cell


# 2
Here is a relaxed TlAsIrPbAuCl crystal from Alexandria. Energies are from PBE.

abc: 3.713 4.819 10.205
angles: 79.76 85.02 69.55
Sites, in units of the cell vectors:
Au 0.426 0.117 0.143
Pb 0.730 0.944 0.462
As 0.474 0.580 0.217
Ir 0.015 0.418 0.359
Tl 0.968 0.171 0.905
Cl 0.688 0.800 0.752

Calculated values
* magnetization: 0.000 μB per atom
* crystal system: triclinic
* ΔE_f (raw): -0.1593 eV/atom
* ΔE to the lowest computed polymorph: 77 meV per atom
* density: 9.0 g/cm³
* space group: P1
* N(E_F): 2.06 states/eV/cell


# 3
Here is a relaxed TeHSe2 crystal from Alexandria. Energies are from PBE.

abc: 8.524 8.524 8.524
angles: 22.22 22.22 22.22
Sites, in units of the cell vectors:
Se 0.111 0.111 0.111
H 0.500 0.500 0.500
Te 0.000 0.000 0.000
Se 0.889 0.889 0.889

Calculated values
* magnetization: 0.000 μB per atom
* crystal system: trigonal
* ΔE to the lowest computed polymorph: 625 meV per atom
* density: 6.1 g/cm³
* space group: R-3m
* N(E_F): 2.29 states/eV/cell


# 4
Here is a relaxed Ho6Sn3H crystal from Alexandria. Energies are from PBE.

abc: 6.171 9.255 9.255
angles: 99.77 90.00 90.00
Sites, in units of the cell vectors:
Ho 0.723 0.891 0.464
Sn 0.854 0.538 0.462
Sn 0.519 0.992 0.766
Ho 0.749 0.301 0.699
Ho 0.147 0.770 0.669
H 0.587 0.750 0.250
Ho 0.147 0.331 0.230
Sn 0.354 0.462 0.538
Ho 0.018 0.093 0.907
Ho 0.518 0.907 0.093
Ho 0.647 0.669 0.770
Ho 0.223 0.109 0.536
Ho 0.723 0.536 0.109
Ho 0.249 0.699 0.301
Ho 0.223 0.464 0.891
Ho 0.647 0.230 0.331
H 0.087 0.250 0.750
Sn 0.019 0.008 0.234
Sn 0.519 0.234 0.008
Sn 0.019 0.766 0.992

Calculated values
* magnetization: 0.000 μB per atom
* crystal system: orthorhombic
* density: 8.6 g/cm³
* DFT total energy: -4.755 eV/atom
* space group: Cmc2_1
* N(E_F): 16.54 states/eV/cell


# 5
Here is a relaxed Y2MgAl crystal from Alexandria. Energies are from PBE.

abc: 6.293 6.293 5.209
angles: 65.58 65.58 33.44
Sites, in units of the cell vectors:
Y 0.767 0.767 0.733
Y 0.994 0.994 0.006
Al 0.518 0.518 0.482
Mg 0.221 0.221 0.279

Calculated values
* magnetization: 0.000 μB per atom
* crystal system: orthorhombic
* ΔE to the lowest computed polymorph: 107 meV per atom
* density: 3.7 g/cm³
* space group: Imm2
* N(E_F): 4.60 states/eV/cell


# 6
Here is a relaxed HoErIrPt crystal from Alexandria. Energies are from PBE.

abc: 3.433 3.433 6.892
angles: 90.00 90.00 90.00
Sites, in units of the cell vectors:
Ir 0.000 0.000 0.859
Pt 0.000 0.000 0.355
Ho 0.500 0.500 0.615
Er 0.500 0.500 0.100

Calculated values
* magnetization: 0.000 μB per atom
* crystal system: tetragonal
* ΔE to the lowest computed polymorph: 0 meV per atom
* density: 14.7 g/cm³
* space group: P4mm
* N(E_F): 1.63 states/eV/cell


# 7
Here is a relaxed CsNa2AgF4 crystal from Alexandria. Energies are from PBE.

abc: 3.691 6.567 12.767
angles: 90.00 90.00 106.32
Sites, in units of the cell vectors:
F 0.244 0.488 0.401
F 0.756 0.512 0.901
F 0.244 0.488 0.099
Na 0.629 0.257 0.470
F 0.536 0.073 0.250
Cs 0.867 0.733 0.250
Ag 0.859 0.718 0.750
F 0.756 0.512 0.599
Na 0.371 0.743 0.530
F 0.000 0.000 0.000
Na 0.629 0.257 0.030
Cs 0.133 0.267 0.750
F 0.464 0.927 0.750
Ag 0.141 0.282 0.250
F 0.000 0.000 0.500
Na 0.371 0.743 0.970

Calculated values
* magnetization: 0.000 μB per atom
* crystal system: orthorhombic
* ΔE_f (raw): -2.1748 eV/atom
* density: 4.1 g/cm³
* space group: Cmcm
* N(E_F): 0.00 states/eV/cell


# 8
Here is a relaxed CaSc3Pd crystal from Alexandria. Energies are from PBE.

abc: 4.897 4.897 4.897
angles: 90.00 90.00 90.00
Sites, in units of the cell vectors:
Pd 0.500 0.500 0.500
Sc 0.000 0.500 0.000
Sc 0.000 0.000 0.500
Ca 0.000 0.000 0.000
Sc 0.500 0.000 0.000

Calculated values
* magnetization: 0.000 μB per atom
* crystal system: cubic
* ΔE to the lowest computed polymorph: 1333 meV per atom
* density: 4.0 g/cm³
* space group: Pm-3m
* N(E_F): 7.59 states/eV/cell


# 9
Here is a relaxed PaGa2SiNi2 crystal from Alexandria. Energies are from PBE.

abc: 4.288 4.288 5.473
angles: 90.00 90.00 90.00
Each line ends with the local moment (μB).
Sites, in units of the cell vectors:
Pa 0.000 0.000 0.500  0.84
Si 0.000 0.000 0.000  0.06
Ni 0.000 0.500 0.000  0.06
Ga 0.500 0.500 0.735  0.01
Ni 0.500 0.000 0.000  0.06
Ga 0.500 0.500 0.265  0.01

Calculated values
* magnetization: 0.196 μB per atom
* crystal system: tetragonal
* ΔE_f (raw): -0.2568 eV/atom
* density: 8.5 g/cm³
* space group: P4/mmm
* N(E_F): 4.35 states/eV/cell


# 10
Here is a relaxed ZnTcSe2 crystal from Alexandria. Energies are from PBE.

abc: 4.610 4.610 4.610
angles: 60.00 60.00 60.00
Each line ends with the local moment (μB).
Sites, in units of the cell vectors:
Zn 0.250 0.250 0.250  0.01
Se 0.750 0.750 0.750  -0.03
Se 0.000 0.000 0.000  -0.03
Tc 0.500 0.500 0.500  1.12

Calculated values
* magnetization: 0.303 μB per atom
* crystal system: cubic
* ΔE_f (raw): 0.6812 eV/atom
* ΔE to the lowest computed polymorph: 961 meV per atom
* density: 7.7 g/cm³
* space group: F-43m
* N(E_F): 3.23 states/eV/cell


# 11
Here is a relaxed KBaMn2Hg crystal from Alexandria. Energies are from PBE.

abc: 6.043 6.331 6.043
angles: 90.00 90.00 90.00
Each line ends with the local moment (μB).
Sites, in units of the cell vectors:
K 0.500 0.500 0.500  -0.01
Mn 0.500 0.000 0.000  4.30
Hg 0.000 0.500 0.000  -0.02
Mn 0.000 0.000 0.500  3.87
Ba 0.000 0.000 0.000  -0.18

Calculated values
* magnetization: 1.625 μB per atom
* crystal system: tetragonal
* density: 3.5 g/cm³
* DFT total energy: -3.264 eV/atom
* space group: P4/mmm
* N(E_F): 3.88 states/eV/cell


# 12
Here is a relaxed CaAcTlIn crystal from Alexandria. Energies are from PBE.

abc: 5.682 5.682 5.682
angles: 60.00 60.00 60.00
Sites, in units of the cell vectors:
In 0.500 0.500 0.500
Ca 0.750 0.750 0.750
Ac 0.250 0.250 0.250
Tl 0.000 0.000 0.000

Calculated values
* magnetization: 0.000 μB per atom
* crystal system: cubic
* density: 7.5 g/cm³
* DFT total energy: -3.234 eV/atom
* space group: F-43m
* N(E_F): 2.94 states/eV/cell